1.
Material: CaTm2I8
Method: DFT, PBE
State: optimized geometry

```
data_CaTm2I8
_chemical_formula_sum 'Ca1 Tm2 I8'
_symmetry_space_group_name_H-M 'P 1'
_symmetry_Int_Tables_number 1
_cell_length_a 7.636
_cell_length_b 9.427
_cell_length_c 9.427
_cell_angle_alpha 71.79
_cell_angle_beta 84.08
_cell_angle_gamma 84.08
loop_
_symmetry_equiv_pos_as_xyz
'x,y,z'
loop_
_atom_site_label
_atom_site_type_symbol
_atom_site_fract_x
_atom_site_fract_y
_atom_site_fract_z
_atom_site_occupancy
I1 I 0.222 0.893 0.286 1
I2 I 0.778 0.107 0.714 1
I3 I 0.222 0.286 0.893 1
I4 I 0.268 0.821 0.821 1
I5 I 0.732 0.179 0.179 1
I6 I 0.787 0.637 0.637 1
I7 I 0.778 0.714 0.107 1
I8 I 0.213 0.363 0.363 1
Ca1 Ca 0.000 0.000 0.000 1
Tm1 Tm 0.353 0.186 0.186 1
Tm2 Tm 0.647 0.814 0.814 1
```

Results
**Total energy**: -3.429 eV per atom
**Calculated volume**: 639.4 Å³ per cell

---

2.
Material: CaTmI
Method: DFT, PBE
State: optimized geometry

```
data_CaTmI
_chemical_formula_sum 'Ca2 Tm2 I2'
_symmetry_space_group_name_H-M 'P 1'
_symmetry_Int_Tables_number 1
_cell_length_a 3.848
_cell_length_b 3.849
_cell_length_c 15.340
_cell_angle_alpha 90.00
_cell_angle_beta 90.00
_cell_angle_gamma 119.99
loop_
_symmetry_equiv_pos_as_xyz
'x,y,z'
loop_
_atom_site_label
_atom_site_type_symbol
_atom_site_fract_x
_atom_site_fract_y
_atom_site_fract_z
_atom_site_occupancy
Tm1 Tm 0.611 0.222 0.310 1
Tm2 Tm 0.611 0.222 0.690 1
I1 I 0.278 0.555 0.842 1
I2 I 0.278 0.555 0.158 1
Ca1 Ca 0.278 0.556 0.500 1
Ca2 Ca 0.611 0.222 0.000 1
```

Results
**Total energy**: -3.131 eV per atom
**Calculated volume**: 196.8 Å³ per cell

---

3.
Material: CaTmI6
Method: DFT, PBE
State: optimized geometry

```
data_CaTmI6
_chemical_formula_sum 'Ca1 Tm1 I6'
_symmetry_space_group_name_H-M 'P 1'
_symmetry_Int_Tables_number 1
_cell_length_a 7.663
_cell_length_b 7.659
_cell_length_c 8.054
_cell_angle_alpha 61.19
_cell_angle_beta 61.54
_cell_angle_gamma 59.96
loop_
_symmetry_equiv_pos_as_xyz
'x,y,z'
loop_
_atom_site_label
_atom_site_type_symbol
_atom_site_fract_x
_atom_site_fract_y
_atom_site_fract_z
_atom_site_occupancy
I1 I 0.917 0.566 0.254 1
I2 I 0.733 0.082 0.751 1
I3 I 0.267 0.918 0.249 1
I4 I 0.083 0.434 0.746 1
I5 I 0.431 0.736 0.748 1
I6 I 0.569 0.264 0.252 1
Tm1 Tm 0.500 0.500 0.500 1
Ca1 Ca 0.000 0.000 0.000 1
```

Results
**Total energy**: -3.121 eV per atom
**Calculated volume**: 340.8 Å³ per cell

---

4.
Material: CaTmI2
Method: DFT, PBE
State: optimized geometry

```
data_CaTmI2
_chemical_formula_sum 'Ca1 Tm1 I2'
_symmetry_space_group_name_H-M 'P 1'
_symmetry_Int_Tables_number 1
_cell_length_a 3.943
_cell_length_b 3.943
_cell_length_c 11.199
_cell_angle_alpha 79.86
_cell_angle_beta 79.86
_cell_angle_gamma 60.00
loop_
_symmetry_equiv_pos_as_xyz
'x,y,z'
loop_
_atom_site_label
_atom_site_type_symbol
_atom_site_fract_x
_atom_site_fract_y
_atom_site_fract_z
_atom_site_occupancy
Tm1 Tm 0.500 0.500 0.500 1
I1 I 0.103 0.103 0.690 1
I2 I 0.897 0.897 0.310 1
Ca1 Ca 0.000 0.000 0.000 1
```

Results
**Total energy**: -3.120 eV per atom
**Calculated volume**: 147.7 Å³ per cell

---

5.
Material: CaUI6
Method: DFT, PBE
State: optimized geometry

```
data_CaUI6
_chemical_formula_sum 'Ca1 U1 I6'
_symmetry_space_group_name_H-M 'P 1'
_symmetry_Int_Tables_number 1
_cell_length_a 7.627
_cell_length_b 7.620
_cell_length_c 8.117
_cell_angle_alpha 62.01
_cell_angle_beta 81.47
_cell_angle_gamma 71.58
loop_
_symmetry_equiv_pos_as_xyz
'x,y,z'
loop_
_atom_site_label
_atom_site_type_symbol
_atom_site_fract_x
_atom_site_fract_y
_atom_site_fract_z
_atom_site_occupancy
I1 I 0.742 0.742 0.000 1
I2 I 0.257 0.593 0.298 1
I3 I 0.743 0.110 0.298 1
I4 I 0.257 0.890 0.702 1
I5 I 0.258 0.258 0.000 1
I6 I 0.743 0.407 0.702 1
Ca1 Ca 0.000 0.000 0.000 1
U1 U 0.500 0.500 0.000 1
```

Results
**E above lowest polymorph**: 0.000 eV/atom
**Calculated volume**: 395.2 Å³ per cell

---

6.
Material: CaUI6
Method: DFT, PBE
State: optimized geometry

```
data_CaUI6
_chemical_formula_sum 'Ca2 U2 I12'
_symmetry_space_group_name_H-M 'P 1'
_symmetry_Int_Tables_number 1
_cell_length_a 7.650
_cell_length_b 7.650
_cell_length_c 14.205
_cell_angle_alpha 90.00
_cell_angle_beta 90.00
_cell_angle_gamma 120.00
loop_
_symmetry_equiv_pos_as_xyz
'x,y,z'
loop_
_atom_site_label
_atom_site_type_symbol
_atom_site_fract_x
_atom_site_fract_y
_atom_site_fract_z
_atom_site_occupancy
Ca1 Ca 0.333 0.667 0.250 1
Ca2 Ca 0.667 0.333 0.750 1
I1 I 0.322 0.324 0.622 1
I2 I 0.322 0.998 0.878 1
I3 I 0.998 0.676 0.122 1
I4 I 0.324 0.322 0.122 1
I5 I 0.002 0.324 0.878 1
I6 I 0.676 0.678 0.878 1
I7 I 0.678 0.002 0.122 1
I8 I 0.676 0.998 0.622 1
I9 I 0.002 0.678 0.622 1
I10 I 0.324 0.002 0.378 1
I11 I 0.678 0.676 0.378 1
I12 I 0.998 0.322 0.378 1
U1 U 0.000 0.000 0.500 1
U2 U 0.000 0.000 0.000 1
```

Results
**E above lowest polymorph**: 0.021 eV/atom
**Calculated volume**: 720.0 Å³ per cell

---

7.
Material: Ca3VI8
Method: DFT, PBE
State: optimized geometry

```
data_Ca3VI8
_chemical_formula_sum 'Ca3 V1 I8'
_symmetry_space_group_name_H-M 'P 1'
_symmetry_Int_Tables_number 1
_cell_length_a 8.847
_cell_length_b 8.845
_cell_length_c 9.311
_cell_angle_alpha 118.78
_cell_angle_beta 90.00
_cell_angle_gamma 120.01
loop_
_symmetry_equiv_pos_as_xyz
'x,y,z'
loop_
_atom_site_label
_atom_site_type_symbol
_atom_site_fract_x
_atom_site_fract_y
_atom_site_fract_z
_atom_site_occupancy
V1 V 0.000 0.000 0.000 1
I1 I 0.227 0.994 0.219 1
I2 I 0.254 0.509 0.766 1
I3 I 0.233 0.006 0.781 1
I4 I 0.228 0.455 0.219 1
I5 I 0.772 0.545 0.781 1
I6 I 0.746 0.491 0.234 1
I7 I 0.773 0.006 0.781 1
I8 I 0.767 0.994 0.219 1
Ca1 Ca 0.000 0.500 0.000 1
Ca2 Ca 0.500 0.500 0.000 1
Ca3 Ca 0.500 0.000 0.000 1
```

Results
**Total energy**: -3.606 eV per atom
**Calculated volume**: 524.5 Å³ per cell

---

8.
Material: CaVI2
Method: DFT, PBE
State: optimized geometry

```
data_CaVI2
_chemical_formula_sum 'Ca2 V2 I4'
_symmetry_space_group_name_H-M 'P 1'
_symmetry_Int_Tables_number 1
_cell_length_a 5.730
_cell_length_b 5.730
_cell_length_c 9.582
_cell_angle_alpha 72.60
_cell_angle_beta 72.60
_cell_angle_gamma 90.00
loop_
_symmetry_equiv_pos_as_xyz
'x,y,z'
loop_
_atom_site_label
_atom_site_type_symbol
_atom_site_fract_x
_atom_site_fract_y
_atom_site_fract_z
_atom_site_occupancy
Ca1 Ca 0.500 0.500 0.000 1
Ca2 Ca 0.250 0.750 0.500 1
I1 I 0.094 0.625 0.250 1
I2 I 0.875 0.906 0.750 1
I3 I 0.375 0.344 0.750 1
I4 I 0.656 0.125 0.250 1
V1 V 0.750 0.250 0.500 1
V2 V 0.000 0.000 0.000 1
```

Results
**E above lowest polymorph**: 0.000 eV/atom
**Calculated volume**: 285.0 Å³ per cell

---

9.
Material: CaVI2
Method: DFT, PBE
State: optimized geometry

```
data_CaVI2
_chemical_formula_sum 'Ca1 V1 I2'
_symmetry_space_group_name_H-M 'P 1'
_symmetry_Int_Tables_number 1
_cell_length_a 5.428
_cell_length_b 5.428
_cell_length_c 5.428
_cell_angle_alpha 60.00
_cell_angle_beta 60.00
_cell_angle_gamma 60.00
loop_
_symmetry_equiv_pos_as_xyz
'x,y,z'
loop_
_atom_site_label
_atom_site_type_symbol
_atom_site_fract_x
_atom_site_fract_y
_atom_site_fract_z
_atom_site_occupancy
V1 V 0.500 0.500 0.500 1
I1 I 0.250 0.250 0.250 1
I2 I 0.750 0.750 0.750 1
Ca1 Ca 0.000 0.000 0.000 1
```

Results
**E above lowest polymorph**: 0.054 eV/atom
**Calculated volume**: 113.1 Å³ per cell

---

10.
Material: CaV3I
Method: DFT, PBE
State: optimized geometry

```
data_CaV3I
_chemical_formula_sum 'Ca1 V3 I1'
_symmetry_space_group_name_H-M 'P 1'
_symmetry_Int_Tables_number 1
_cell_length_a 4.685
_cell_length_b 4.685
_cell_length_c 4.685
_cell_angle_alpha 90.00
_cell_angle_beta 90.00
_cell_angle_gamma 90.00
loop_
_symmetry_equiv_pos_as_xyz
'x,y,z'
loop_
_atom_site_label
_atom_site_type_symbol
_atom_site_fract_x
_atom_site_fract_y
_atom_site_fract_z
_atom_site_occupancy
V1 V 0.000 0.000 0.500 1
V2 V 0.500 0.000 0.000 1
V3 V 0.000 0.500 0.000 1
I1 I 0.500 0.500 0.500 1
Ca1 Ca 0.000 0.000 0.000 1
```

Results
**E above lowest polymorph**: 1.073 eV/atom
**Calculated volume**: 102.8 Å³ per cell

---

11.
Material: CaV3I
Method: DFT, PBE
State: optimized geometry

```
data_CaV3I
_chemical_formula_sum 'Ca1 V3 I1'
_symmetry_space_group_name_H-M 'P 1'
_symmetry_Int_Tables_number 1
_cell_length_a 4.948
_cell_length_b 4.948
_cell_length_c 4.948
_cell_angle_alpha 90.00
_cell_angle_beta 90.00
_cell_angle_gamma 90.00
loop_
_symmetry_equiv_pos_as_xyz
'x,y,z'
loop_
_atom_site_label
_atom_site_type_symbol
_atom_site_fract_x
_atom_site_fract_y
_atom_site_fract_z
_atom_site_occupancy
V1 V 0.500 0.000 0.000 1
V2 V 0.000 0.500 0.000 1
V3 V 0.000 0.000 0.500 1
Ca1 Ca 0.500 0.500 0.500 1
I1 I 0.000 0.000 0.000 1
```

Results
**E above lowest polymorph**: 0.000 eV/atom
**Calculated volume**: 121.2 Å³ per cell

---

12.
Material: Ca3VI
Method: DFT, PBE
State: optimized geometry

```
data_Ca3VI
_chemical_formula_sum 'Ca3 V1 I1'
_symmetry_space_group_name_H-M 'P 1'
_symmetry_Int_Tables_number 1
_cell_length_a 5.932
_cell_length_b 5.932
_cell_length_c 5.932
_cell_angle_alpha 90.00
_cell_angle_beta 90.00
_cell_angle_gamma 90.00
loop_
_symmetry_equiv_pos_as_xyz
'x,y,z'
loop_
_atom_site_label
_atom_site_type_symbol
_atom_site_fract_x
_atom_site_fract_y
_atom_site_fract_z
_atom_site_occupancy
Ca1 Ca 0.000 0.500 0.000 1
Ca2 Ca 0.000 0.000 0.500 1
Ca3 Ca 0.500 0.000 0.000 1
V1 V 0.000 0.000 0.000 1
I1 I 0.500 0.500 0.500 1
```

Results
**Total energy**: -3.008 eV per atom
**Calculated volume**: 208.8 Å³ per cell

---

Question: Which of these has the lowest calculated volume?
Answer: number 10

---

Question: Which of these has the lowest calculated volume?
Answer: number 10

---

Question: What is the calculated volume in the eighth record?
Answer: 285.0 Å³ per cell